# 1
Below is a relaxed KReOF2 crystal, with properties calculated at the GGA-PBE level.

```
5
Lattice="-3.0715 -2.7104 -2.0405 3.2083 -3.2154 -0.5584 -1.1128 -1.8214 4.0944" Properties=species:S:1:pos:R:3 pbc="T T T"
F 1.6042 -1.6077 -0.2792
Re -0.4880 -3.8736 0.7477
F -1.5357 -1.3552 -1.0203
O -0.5564 -0.9107 2.0472
K 0.0000 0.0000 0.0000
```

Summary:
Space-group type: P4/mmm, No. 123
ΔE_f (raw): 0.42 eV/atom
E: -0.296 Ry per atom
Size of the total moment: 6.0 Bohr magnetons per cell
Energy above the most stable polymorph in this dataset: 1970.2 meV/atom


# 2
Below is a relaxed Mn2CuBr crystal, with properties calculated at the GGA-PBE level.

```
8
Lattice="4.9044 0.0000 0.0000 0.0000 4.9044 0.0000 2.4522 2.4522 7.6290" Properties=species:S:1:pos:R:3 pbc="T T T"
Cu 2.4522 2.4522 0.0000
Br 0.0000 0.0000 0.0000
Mn 3.3787 1.2261 1.9073
Mn 6.1305 5.8309 5.7218
Br 4.9044 2.4522 3.8145
Mn 3.6783 3.9779 5.7218
Cu 2.4522 4.9044 3.8145
Mn 1.5257 3.6783 1.9073
```

Summary:
Space-group type: I-42d, No. 122
ΔE_f (raw): 0.67 eV/atom
E: -0.394 Ry per atom
Size of the total moment: 17.9 Bohr magnetons per cell
Energy above the most stable polymorph in this dataset: 409.1 meV/atom


# 3
Below is a relaxed NiHgI2 crystal, with properties calculated at the GGA-PBE level.

```
8
Lattice="7.8506 0.0000 0.0000 0.0000 7.8506 0.0000 3.9253 3.9253 4.6216" Properties=species:S:1:pos:R:3 pbc="T T T"
Hg 7.8506 3.9253 2.3108
Hg 0.0000 0.0000 0.0000
Ni 3.9253 7.8506 2.3108
I 2.8254 5.8879 1.1554
I 5.8879 6.7506 3.4662
Ni 3.9253 3.9253 0.0000
I 5.0252 1.9626 1.1554
I 9.8132 8.9505 3.4662
```

Summary:
Space-group type: I-42d, No. 122
ΔE_f (raw): 0.03 eV/atom
E: -0.166 Ry per atom
Size of the total moment: 2.5 Bohr magnetons per cell
Energy above the most stable polymorph in this dataset: 74.3 meV/atom


# 4
Below is a relaxed Ac2ErIn3 crystal, with properties calculated at the GGA-PBE level.

```
6
Lattice="-1.5627 -3.0327 -1.9951 1.6548 -2.5284 2.5472 -9.9160 0.5272 6.9653" Properties=species:S:1:pos:R:3 pbc="T T T"
In 0.0000 0.0000 0.0000
In -6.3249 0.3363 4.4428
Ac -1.7181 -2.6868 1.5153
Ac -8.1057 -2.3472 6.0021
In -3.5910 0.1909 2.5225
Er -4.9119 -2.5170 3.7587
```

Summary:
Space-group type: P4/mmm, No. 123
E: -0.288 Ry per atom
Size of the total moment: 0.0 Bohr magnetons per cell
Energy above the most stable polymorph in this dataset: 0.0 meV/atom